# 1
Computed, not measured: an optimized crystal structure of Zr2GeMo at the PBE level of DFT.

The structure in POSCAR format:
```
Zr2GeMo
1.0
3.5723 0.0000 0.0000
0.0000 4.5754 0.0000
0.0000 0.0000 4.5754
Mo Ge Zr
1 1 2
direct
0.5000 0.5000 0.5000 Mo
0.5000 0.0000 0.0000 Ge
0.0000 0.0000 0.5000 Zr
0.0000 0.5000 0.0000 Zr
```

Properties
The calculation puts the formation energy at -0.378 eV/atom. As for the crystal system: tetragonal. Its space group is P4/mmm.


# 2
Computed, not measured: an optimized crystal structure of ZrGe3Mo at the PBE level of DFT.

The structure in POSCAR format:
```
ZrGe3Mo
1.0
-4.9425 0.0294 1.3574
-1.3040 -1.5302 -4.7148
0.3782 -4.8917 1.4830
Mo Ge Zr
1 3 1
direct
0.5000 0.5000 0.5000 Mo
0.0000 0.5000 0.0000 Ge
0.0000 0.0000 0.5000 Ge
0.5000 0.0000 0.0000 Ge
0.0000 0.0000 0.0000 Zr
```

Properties
The calculation puts the formation energy at 1.138 eV/atom. As for the offset from the most stable computed form: 0.577 eV per atom. As for the crystal system: cubic. Its space group is Pm-3m.


# 3
Computed, not measured: an optimized crystal structure of ZrGe2Mo at the PBE level of DFT.

The structure in POSCAR format:
```
ZrGe2Mo
1.0
-2.2670 -2.9135 0.6324
4.6877 -4.0689 -1.9416
2.4130 1.7824 5.7706
Zr Ge Mo
2 4 2
direct
0.7501 0.2500 0.0000 Zr
0.2499 0.7500 0.0000 Zr
0.8850 0.6282 0.2701 Ge
0.3851 0.1282 0.2701 Ge
0.6149 0.8718 0.7299 Ge
0.1150 0.3718 0.7299 Ge
0.0000 0.0000 0.5000 Mo
0.5000 0.5000 0.5000 Mo
```

Properties
The calculation puts the formation energy at -0.168 eV/atom. As for the offset from the most stable computed form: 0.028 eV per atom. As for the crystal system: monoclinic. Its space group is C2/m.


# 4
Computed, not measured: an optimized crystal structure of ZrGeMo at the PBE level of DFT.

The structure in POSCAR format:
```
ZrGeMo
1.0
3.5416 0.0000 0.0000
0.0000 8.0121 0.0000
0.0000 0.0000 8.0121
Zr Ge Mo
4 4 4
direct
0.5000 0.7714 0.5904 Zr
0.0000 0.4096 0.7714 Zr
0.0000 0.5904 0.2286 Zr
0.5000 0.2286 0.4096 Zr
0.5000 0.3672 0.0753 Ge
0.0000 0.9247 0.3672 Ge
0.0000 0.0753 0.6328 Ge
0.5000 0.6328 0.9247 Ge
0.5000 0.8800 0.1483 Mo
0.5000 0.1200 0.8517 Mo
0.0000 0.1483 0.1200 Mo
0.0000 0.8517 0.8800 Mo
```

Properties
The calculation puts the formation energy at -0.269 eV/atom. As for the crystal system: tetragonal. Its space group is P4_2/m.


# 5
Computed, not measured: an optimized crystal structure of ZrGe8Mo6 at the PBE level of DFT.

The structure in POSCAR format:
```
ZrGe8Mo6
1.0
-1.9968 -0.3087 -6.1700
-3.1487 -5.6778 0.0058
-6.1481 2.0003 0.5923
Zr Ge Mo
1 8 6
direct
0.0000 0.0000 0.0000 Zr
0.7615 0.7615 0.7615 Ge
0.2385 0.2385 0.2385 Ge
0.6024 0.9166 0.1818 Ge
0.9166 0.1818 0.6024 Ge
0.1818 0.6024 0.9166 Ge
0.3976 0.0834 0.8182 Ge
0.0834 0.8182 0.3976 Ge
0.8182 0.3976 0.0834 Ge
0.5728 0.4107 0.7982 Mo
0.4107 0.7982 0.5728 Mo
0.7982 0.5728 0.4107 Mo
0.4272 0.5893 0.2018 Mo
0.5893 0.2018 0.4272 Mo
0.2018 0.4272 0.5893 Mo
```

Properties
The calculation puts the formation energy at 0.116 eV/atom. As for the crystal system: trigonal. Its space group is R-3.


# 6
Computed, not measured: an optimized crystal structure of Zr2Ge6Mo at the PBE level of DFT.

The structure in POSCAR format:
```
Zr2Ge6Mo
1.0
-2.5382 -4.1859 1.3123
4.9637 -0.2898 -1.1104
1.5601 1.1466 6.6749
Zr Ge Mo
2 6 1
direct
0.0000 0.5000 0.6637 Zr
0.5000 0.5000 0.3363 Zr
0.8319 0.6638 0.0000 Ge
0.3241 0.1594 0.6760 Ge
0.8352 0.1594 0.3240 Ge
0.1681 0.3362 0.0000 Ge
0.6759 0.8406 0.6760 Ge
0.1648 0.8406 0.3240 Ge
0.5000 0.0000 0.0000 Mo
```

Properties
The calculation puts the formation energy at -0.394 eV/atom. As for the crystal system: orthorhombic. Its space group is C222.